1.
A geometry-optimized CoGe2Os structure, computed with PBE.

## Properties
Its space group is Pc.

abc: 4.6668 4.6291 5.6895
angles: 90.00 114.04 90.00
Site moments in Bohr magnetons follow the coordinates.
Element x y z (fractional)
Os  0.2113  0.8992  0.9739  0.12
Ge  0.2468  0.8930  0.5355  -0.02
Os  0.7113  0.1008  0.4739  0.12
Ge  0.7468  0.1070  0.0355  -0.02
Co  0.8238  0.6117  0.2101  0.79
Co  0.3238  0.3883  0.7101  0.79
Ge  0.7867  0.5869  0.6636  -0.01
Ge  0.2867  0.4131  0.1636  -0.01

---

2.
A geometry-optimized CoGe2Os structure, computed with PBE.

## Properties
Its space group is Cm.

abc: 4.2910 3.0153 8.8104
angles: 90.00 105.36 90.00
Site moments in Bohr magnetons follow the coordinates.
Element x y z (fractional)
Ge  0.6475  0.0000  0.5499  -0.02
Os  0.1474  0.0000  0.0462  0.02
Ge  0.0302  0.5000  0.8074  -0.01
Os  0.1474  0.5000  0.5462  0.02
Co  0.5476  0.5000  0.3124  0.53
Co  0.5476  0.0000  0.8124  0.53
Ge  0.6475  0.5000  0.0499  -0.02
Ge  0.0302  0.0000  0.3074  -0.01

---

Per-record energy, eV/atom: -6.908; -6.850